[1]
First-principles (PBE) data for ThAl2Pd after structural relaxation, as listed in Alexandria.

Formation enthalpy at 0 K, eV/f.u.: -2.598
E_tot, eV per cell: -22.7
Density, g cm⁻³: 7.70

Cell lengths 4.270, 4.270, 5.897 Å; angles 68.77, 68.77, 60.00 degrees
Sites, in units of the cell vectors:
Al 0.208 0.208 0.377
Al 0.792 0.792 0.623
Th 0.000 0.000 0.000
Pd 0.500 0.500 0.500

---

[2]
First-principles (PBE) data for ThAl4Pd4 after structural relaxation, as listed in Alexandria.

Formation enthalpy at 0 K, eV/f.u.: -6.862
E_tot, eV per cell: -100.0
Density, g cm⁻³: 7.95

Cell lengths 6.060, 6.060, 8.711 Å; angles 90.00, 90.00, 90.00 degrees
Sites, in units of the cell vectors:
Pd 0.500 0.773 0.796
Pd 0.500 0.227 0.796
Pd 0.227 0.500 0.204
Pd 0.727 0.000 0.296
Pd 0.273 0.000 0.296
Pd 0.000 0.273 0.704
Pd 0.000 0.727 0.704
Pd 0.773 0.500 0.204
Th 0.500 0.500 0.500
Th 0.000 0.000 0.000
Al 0.727 0.000 0.594
Al 0.000 0.727 0.406
Al 0.000 0.273 0.406
Al 0.227 0.500 0.906
Al 0.500 0.227 0.094
Al 0.773 0.500 0.906
Al 0.500 0.773 0.094
Al 0.273 0.000 0.594

---

[3]
First-principles (PBE) data for ThAl2Pd9 after structural relaxation, as listed in Alexandria.

Formation enthalpy at 0 K, eV/f.u.: -8.585
E_tot, eV per cell: -70.2
Density, g cm⁻³: 10.60

Cell lengths 4.081, 4.081, 11.700 Å; angles 90.00, 90.00, 90.00 degrees
Sites, in units of the cell vectors:
Pd 0.500 0.000 0.500
Pd 0.500 0.500 0.341
Pd 0.500 0.500 0.000
Pd 0.500 0.500 0.659
Pd 0.500 0.000 0.184
Pd 0.000 0.500 0.184
Pd 0.000 0.500 0.816
Pd 0.000 0.500 0.500
Pd 0.500 0.000 0.816
Al 0.000 0.000 0.348
Al 0.000 0.000 0.652
Th 0.000 0.000 0.000

---

[4]
First-principles (PBE) data for Th4AlPd2 after structural relaxation, as listed in Alexandria.

Formation enthalpy at 0 K, eV/f.u.: -2.070
E_tot, eV per cell: -45.9
Density, g cm⁻³: 9.95

Cell lengths 5.044, 5.044, 9.314 Å; angles 74.29, 74.29, 60.00 degrees
Sites, in units of the cell vectors:
Th 0.875 0.875 0.375
Th 0.125 0.125 0.625
Th 0.287 0.287 0.139
Th 0.713 0.713 0.861
Pd 0.603 0.603 0.190
Pd 0.397 0.397 0.810
Al 0.500 0.500 0.500

---

[5]
First-principles (PBE) data for ThAlPd6 after structural relaxation, as listed in Alexandria.

E above lowest polymorph, eV per atom: 0.0000
Formation enthalpy at 0 K, eV/f.u.: -6.316
E_tot, eV per cell: -48.6
Density, g cm⁻³: 11.04

Cell lengths 4.128, 4.128, 7.922 Å; angles 90.00, 90.00, 90.00 degrees
Sites, in units of the cell vectors:
Th 0.000 0.000 0.000
Pd 0.500 0.500 0.500
Pd 0.000 0.500 0.269
Pd 0.000 0.500 0.731
Pd 0.500 0.000 0.731
Pd 0.500 0.000 0.269
Pd 0.500 0.500 0.000
Al 0.000 0.000 0.500

---

[6]
First-principles (PBE) data for Th3Al2Pd4 after structural relaxation, as listed in Alexandria.

Formation enthalpy at 0 K, eV/f.u.: -7.273
E_tot, eV per cell: -57.8
Density, g cm⁻³: 10.05

Cell lengths 4.458, 6.047, 8.652 Å; angles 114.33, 90.00, 111.63 degrees
Sites, in units of the cell vectors:
Pd 0.082 0.164 0.404
Pd 0.918 0.836 0.596
Pd 0.290 0.580 0.929
Pd 0.710 0.420 0.071
Al 0.331 0.663 0.657
Al 0.669 0.337 0.343
Th 0.367 0.733 0.306
Th 0.000 0.000 0.000
Th 0.633 0.267 0.694

---

[7]
First-principles (PBE) data for TmThAlPd after structural relaxation, as listed in Alexandria.

Formation enthalpy at 0 K, eV/f.u.: -1.819
E_tot, eV per cell: -22.6
Density, g cm⁻³: 9.32

Cell lengths 5.126, 5.126, 5.126 Å; angles 60.00, 60.00, 60.00 degrees
Sites, in units of the cell vectors:
Pd 0.500 0.500 0.500
Th 0.250 0.250 0.250
Al 0.000 0.000 0.000
Tm 0.750 0.750 0.750

---

[8]
First-principles (PBE) data for YThAlPd after structural relaxation, as listed in Alexandria.

Formation enthalpy at 0 K, eV/f.u.: -1.773
E_tot, eV per cell: -24.6
Density, g cm⁻³: 7.77

Cell lengths 5.160, 5.160, 5.160 Å; angles 60.00, 60.00, 60.00 degrees
Last column: magnetic moment on the atom in μB.
Sites, in units of the cell vectors:
Th 0.250 0.250 0.250  0.08
Al 0.000 0.000 0.000  0.00
Pd 0.500 0.500 0.500  0.03
Y 0.750 0.750 0.750  0.08

---

[9]
First-principles (PBE) data for Th2Al3Zn4Pd after structural relaxation, as listed in Alexandria.

Formation enthalpy at 0 K, eV/f.u.: -4.182
E_tot, eV per cell: -40.5
Density, g cm⁻³: 7.84

Cell lengths 4.266, 4.266, 10.623 Å; angles 90.00, 90.00, 90.00 degrees
Sites, in units of the cell vectors:
Pd 0.500 0.500 0.500
Zn 0.000 0.500 0.365
Zn 0.500 0.000 0.635
Zn 0.500 0.500 0.000
Zn 0.000 0.000 0.000
Al 0.000 0.500 0.134
Al 0.500 0.000 0.866
Al 0.000 0.000 0.500
Th 0.500 0.000 0.251
Th 0.000 0.500 0.749

---

[10]
First-principles (PBE) data for Th2Al4Zn3Pd after structural relaxation, as listed in Alexandria.

Formation enthalpy at 0 K, eV/f.u.: -4.958
E_tot, eV per cell: -43.8
Density, g cm⁻³: 7.50

Cell lengths 4.283, 4.283, 10.558 Å; angles 90.00, 90.00, 90.00 degrees
Sites, in units of the cell vectors:
Al 0.500 0.000 0.626
Al 0.500 0.500 0.000
Al 0.000 0.500 0.374
Al 0.000 0.000 0.000
Th 0.000 0.500 0.747
Th 0.500 0.000 0.253
Zn 0.000 0.000 0.500
Zn 0.000 0.500 0.139
Zn 0.500 0.000 0.861
Pd 0.500 0.500 0.500

---

[11]
First-principles (PBE) data for Th2AlZnPd6 after structural relaxation, as listed in Alexandria.

Formation enthalpy at 0 K, eV/f.u.: -6.677
E_tot, eV per cell: -57.7
Density, g cm⁻³: 10.03

Cell lengths 5.752, 8.187, 5.597 Å; angles 64.39, 58.74, 87.24 degrees
Sites, in units of the cell vectors:
Pd 0.114 0.660 0.195
Pd 0.364 0.324 0.804
Pd 0.636 0.676 0.196
Pd 0.886 0.340 0.805
Pd 0.655 0.838 0.599
Pd 0.345 0.162 0.401
Al 0.500 0.500 0.000
Th 0.169 0.774 0.580
Th 0.831 0.226 0.420
Zn 0.000 0.000 0.000

---

[12]
First-principles (PBE) data for ThAlZnPd after structural relaxation, as listed in Alexandria.

Formation enthalpy at 0 K, eV/f.u.: -2.067
E_tot, eV per cell: -19.7
Density, g cm⁻³: 8.88

Cell lengths 4.848, 4.848, 4.848 Å; angles 60.00, 60.00, 60.00 degrees
Sites, in units of the cell vectors:
Zn 0.500 0.500 0.500
Al 0.250 0.250 0.250
Pd 0.000 0.000 0.000
Th 0.750 0.750 0.750

---

- Look up the E_tot of the seventh one.
  -22.6 eV per cell